1.
Density functional theory data (PBE-GGA) for a geometry-optimized La5NdSn3 structure.

abc: 8.3906 8.3906 16.5375
angles: 90.00 90.00 90.00
Space group I4/mcm (No. 140)
Symmetry-distinct sites (fractional):
La1 0.0000 0.0000 0.0000 [4 per cell]
La2 0.1921 0.3079 0.1376 [16 per cell]
Nd1 0.0000 0.5000 0.2500 [4 per cell]
Sn1 0.0000 0.0000 0.2500 [4 per cell]
Sn2 0.1203 0.3797 0.5000 [8 per cell]

Results
* energy relative to the lowest polymorph listed for this composition: 0.210 eV per atom
* formation energy from the elements: -3.5 eV/f.u.

***

2.
Density functional theory data (PBE-GGA) for a geometry-optimized Ca3HoAu4 structure.

abc: 3.6254 3.6254 14.5407
angles: 90.00 90.00 90.00
Space group P4/mmm (No. 123)
Symmetry-distinct sites (fractional):
Ca1 0.0000 0.0000 0.0000 [1 per cell]
Ca2 0.0000 0.0000 0.2511 [2 per cell]
Ho1 0.0000 0.0000 0.5000 [1 per cell]
Au1 0.5000 0.5000 0.1254 [2 per cell]
Au2 0.5000 0.5000 0.3870 [2 per cell]

Results
* formation energy from the elements: -6.5 eV/f.u.

***

3.
Density functional theory data (PBE-GGA) for a geometry-optimized ScBeRu2 structure.

abc: 3.0572 3.0929 5.9214
angles: 90.00 90.18 90.00
Space group P2/m (No. 10)
Symmetry-distinct sites (fractional):
Sc1 0.0000 0.0000 0.0000 [1 per cell]
Be1 0.0000 0.0000 0.5000 [1 per cell]
Ru1 0.4987 0.5000 0.7108 [2 per cell]

Results
* formation energy from the elements: -1.0 eV/f.u.

***

4.
Density functional theory data (PBE-GGA) for a geometry-optimized YCrPt structure.

abc: 3.5549 3.5549 9.6147
angles: 90.00 90.00 90.00
Space group I4mm (No. 107)
Symmetry-distinct sites (fractional):
Y1 0.0000 0.0000 0.0000 [2 per cell]
Cr1 0.0000 0.0000 0.3007 [2 per cell]
Pt1 0.0000 0.0000 0.6692 [2 per cell]

Results
* energy relative to the lowest polymorph listed for this composition: 0.140 eV per atom
* formation energy from the elements: -0.8 eV/f.u.

***

Computed values of magnetization (unit: μB per formula unit) for the preceding records, in sequence: 0.192, 0.000, 0.000, 4.428.
Computed values of E (unit: eV per atom) for the preceding records, in sequence: -4.991, -3.778, -7.396, -7.626.